No. 1
Below is a geometry-optimized Sm12MgNi6 structure, with properties calculated at the PBE level.

The structure in CIF format:
```
data_Sm12MgNi6
_chemical_formula_sum 'Sm24 Mg2 Ni12'
_space_group_name_H-M_alt 'I m -3'
_space_group_IT_number 204
_space_group_name_Hall '-I 2 2 3'
_cell_length_a 9.962
_cell_length_b 9.962
_cell_length_c 9.962
_cell_angle_alpha 90.00
_cell_angle_beta 90.00
_cell_angle_gamma 90.00
loop_
_atom_site_label
_atom_site_fract_x
_atom_site_fract_y
_atom_site_fract_z
_atom_site_occupancy
Sm1 0.000 0.187 0.307 1
Mg1 0.000 0.000 0.000 1
Ni1 0.000 0.379 0.500 1
```

Calculated values
E = -5.14 eV per atom
total moment = 0.000 μB per atom

No. 2
Below is a geometry-optimized SmMgNi2 structure, with properties calculated at the PBE level.

The structure in CIF format:
```
data_SmMgNi2
_chemical_formula_sum 'Sm1 Mg1 Ni2'
_space_group_name_H-M_alt 'P 4/m m m'
_space_group_IT_number 123
_space_group_name_Hall '-P 4 2'
_cell_length_a 4.637
_cell_length_b 4.637
_cell_length_c 3.255
_cell_angle_alpha 90.00
_cell_angle_beta 90.00
_cell_angle_gamma 90.00
loop_
_atom_site_label
_atom_site_fract_x
_atom_site_fract_y
_atom_site_fract_z
_atom_site_occupancy
Sm1 0.000 0.000 0.000 1
Mg1 0.500 0.500 0.000 1
Ni1 0.000 0.500 0.500 1
```

Calculated values
E = -4.64 eV per atom
total moment = 0.000 μB per atom

No. 3
Below is a geometry-optimized Sm11Mg9Ni4 structure, with properties calculated at the PBE level.

The structure in CIF format:
```
data_Sm11Mg9Ni4
_chemical_formula_sum 'Sm22 Mg18 Ni8'
_space_group_name_H-M_alt 'C m m m'
_space_group_IT_number 65
_space_group_name_Hall '-C 2 2'
_cell_length_a 14.812
_cell_length_b 22.358
_cell_length_c 3.697
_cell_angle_alpha 90.00
_cell_angle_beta 90.00
_cell_angle_gamma 90.00
loop_
_atom_site_label
_atom_site_fract_x
_atom_site_fract_y
_atom_site_fract_z
_atom_site_occupancy
Sm1 0.000 0.000 0.000 1
Sm2 0.000 0.156 0.000 1
Sm3 0.000 0.373 0.000 1
Sm4 0.188 0.500 0.000 1
Sm5 0.249 0.333 0.000 1
Mg1 0.000 0.500 0.500 1
Mg2 0.105 0.260 0.500 1
Mg3 0.149 0.070 0.500 1
Ni1 0.149 0.401 0.500 1
```

Calculated values
E = -3.93 eV per atom
total moment = 0.018 μB per atom

No. 4
Below is a geometry-optimized Sm4MgNi structure, with properties calculated at the PBE level.

The structure in CIF format:
```
data_Sm4MgNi
_chemical_formula_sum 'Sm8 Mg2 Ni2'
_space_group_name_H-M_alt 'P 1 21/c 1'
_space_group_IT_number 14
_cell_length_a 7.519
_cell_length_b 7.365
_cell_length_c 6.758
_cell_angle_alpha 90.00
_cell_angle_beta 94.02
_cell_angle_gamma 90.00
loop_
_space_group_symop_operation_xyz
'x,y,z'
'-x,-y,-z'
'-x,y+1/2,-z+1/2'
'x,-y+1/2,z+1/2'
loop_
_atom_site_label
_atom_site_fract_x
_atom_site_fract_y
_atom_site_fract_z
_atom_site_occupancy
Sm1 0.135 0.168 0.178 1
Sm2 0.312 0.635 0.080 1
Mg1 0.500 0.000 0.000 1
Ni1 0.000 0.000 0.500 1
```

Calculated values
energy above the most stable polymorph in this dataset = 244 meV per atom
total moment = 0.000 μB per atom

No. 5
Below is a geometry-optimized SmMg8Ni4 structure, with properties calculated at the PBE level.

The structure in CIF format:
```
data_SmMg8Ni4
_chemical_formula_sum 'Sm2 Mg16 Ni8'
_space_group_name_H-M_alt 'I 4/m m m'
_space_group_IT_number 139
_space_group_name_Hall '-I 4 2'
_cell_length_a 9.283
_cell_length_b 9.283
_cell_length_c 5.390
_cell_angle_alpha 90.00
_cell_angle_beta 90.00
_cell_angle_gamma 90.00
loop_
_atom_site_label
_atom_site_fract_x
_atom_site_fract_y
_atom_site_fract_z
_atom_site_occupancy
Sm1 0.000 0.000 0.000 1
Mg1 0.000 0.220 0.500 1
Mg2 0.000 0.337 0.000 1
Ni1 0.250 0.250 0.250 1
```

Calculated values
E = -3.26 eV per atom
total moment = 0.000 μB per atom

No. 6
Below is a geometry-optimized SmMg6Ni6 structure, with properties calculated at the PBE level.

The structure in CIF format:
```
data_SmMg6Ni6
_chemical_formula_sum 'Sm2 Mg12 Ni12'
_space_group_name_H-M_alt 'I m m m'
_space_group_IT_number 71
_space_group_name_Hall '-I 2 2'
_cell_length_a 5.127
_cell_length_b 8.840
_cell_length_c 9.057
_cell_angle_alpha 90.00
_cell_angle_beta 90.00
_cell_angle_gamma 90.00
loop_
_atom_site_label
_atom_site_fract_x
_atom_site_fract_y
_atom_site_fract_z
_atom_site_occupancy
Sm1 0.000 0.000 0.000 1
Mg1 0.000 0.000 0.348 1
Mg2 0.000 0.336 0.000 1
Mg3 0.000 0.500 0.309 1
Ni1 0.000 0.269 0.500 1
Ni2 0.250 0.250 0.250 1
```

Calculated values
E = -3.95 eV per atom
total moment = 0.000 μB per atom

No. 7
Below is a geometry-optimized SmMgNi structure, with properties calculated at the PBE level.

The structure in CIF format:
```
data_SmMgNi
_chemical_formula_sum 'Sm2 Mg2 Ni2'
_space_group_name_H-M_alt 'I 4 m m'
_space_group_IT_number 107
_space_group_name_Hall 'I 4 -2'
_cell_length_a 3.348
_cell_length_b 3.348
_cell_length_c 11.383
_cell_angle_alpha 90.00
_cell_angle_beta 90.00
_cell_angle_gamma 90.00
loop_
_atom_site_label
_atom_site_fract_x
_atom_site_fract_y
_atom_site_fract_z
_atom_site_occupancy
Sm1 0.000 0.000 0.000 1
Mg1 0.000 0.000 0.273 1
Ni1 0.000 0.000 0.646 1
```

Calculated values
E = -4.18 eV per atom
total moment = 0.000 μB per atom

No. 8
Below is a geometry-optimized Sm3MgNi8 structure, with properties calculated at the PBE level.

The structure in CIF format:
```
data_Sm3MgNi8
_chemical_formula_sum 'Sm9 Mg3 Ni24'
_space_group_name_H-M_alt 'R 3 m'
_space_group_IT_number 160
_space_group_name_Hall 'R 3 -2"'
_cell_length_a 5.0520
_cell_length_b 5.0520
_cell_length_c 24.9158
_cell_angle_alpha 90.00
_cell_angle_beta 90.00
_cell_angle_gamma 120.00
loop_
_atom_site_label
_atom_site_fract_x
_atom_site_fract_y
_atom_site_fract_z
_atom_site_occupancy
Sm1 0.0000 0.0000 0.0000 1
Sm2 0.0000 0.0000 0.1276 1
Sm3 0.0000 0.0000 0.6174 1
Mg1 0.0000 0.0000 0.4955 1
Ni1 0.0000 0.0000 0.3108 1
Ni2 0.0000 0.0000 0.8113 1
Ni3 0.0021 0.5010 0.5595 1
Ni4 0.0026 0.5013 0.0619 1
```

Calculated values
E = -5.53 eV per atom
total moment = 0.000 μB per atom

The records above give, respectively, volume values of 26.0, 17.5, 25.5, 31.1, 17.9, 15.8, 21.3, 15.3 Å³ per atom.